[1]
Below is a crystal of ZrCoO3 relaxed with PBEsol, with properties calculated at the SCAN level.

Values from the calculation:
Its uncorrected formation energy is -255.7 kJ/mol of atoms. The volume is 9.60 A^3/atom. The calculation puts the total energy at -15.990 eV per atom.

Cell: 4.890 5.718 6.868 Å, 90.00 90.00 90.00°
Last column: magnetic moment on the atom in μB.
Fractional coordinates of all 20 atoms:
Zr: 0.538 0.394 0.750  0.02
O: 0.154 0.560 0.750  -0.02
O: 0.346 0.060 0.750  -0.02
O: 0.170 0.829 0.062  0.02
O: 0.846 0.440 0.250  -0.02
O: 0.170 0.829 0.438  0.02
Co: 0.000 0.500 0.000  0.95
Co: 0.500 0.000 0.000  0.95
Zr: 0.038 0.106 0.250  0.02
O: 0.830 0.171 0.938  0.02
Zr: 0.962 0.894 0.750  0.02
O: 0.654 0.940 0.250  -0.02
Co: 0.500 0.000 0.500  0.95
Co: 0.000 0.500 0.500  0.95
O: 0.670 0.671 0.938  0.02
O: 0.670 0.671 0.562  0.02
Zr: 0.462 0.606 0.250  0.02
O: 0.330 0.329 0.062  0.02
O: 0.330 0.329 0.438  0.02
O: 0.830 0.171 0.562  0.02

***

[2]
Below is a crystal of Lu2I2O relaxed with PBEsol, with properties calculated at the SCAN level.

Values from the calculation:
Its uncorrected formation energy is -95.5 kJ/mol of atoms. The volume is 42.71 A^3/atom. The calculation puts the total energy at -39.071 eV per atom.

Cell: 3.940 3.940 13.757 Å, 90.00 90.00 90.00°
Fractional coordinates of all 5 atoms:
I: 0.500 0.500 0.346
Lu: 0.500 0.500 0.857
O: 0.500 0.500 0.000
I: 0.500 0.500 0.654
Lu: 0.500 0.500 0.143

***

[3]
Below is a crystal of AlCoPt2 relaxed with PBEsol, with properties calculated at the SCAN level.

Values from the calculation:
The volume is 13.83 A^3/atom. As for the formation energy: -49.8 kJ/mol of atoms. The calculation puts the total energy at -41.877 eV per atom.

Cell: 4.276 4.276 4.276 Å, 60.00 60.00 60.00°
Last column: magnetic moment on the atom in μB.
Fractional coordinates of all 4 atoms:
Pt: 0.250 0.250 0.250  0.08
Pt: 0.000 0.000 0.000  0.14
Al: 0.500 0.500 0.500  -0.01
Co: 0.750 0.750 0.750  1.91

***

[4]
Below is a crystal of YMn2Al relaxed with PBEsol, with properties calculated at the SCAN level.

Values from the calculation:
The volume is 16.61 A^3/atom. As for the formation energy: -8.5 kJ/mol of atoms. The calculation puts the total energy at -18.114 eV per atom.

Cell: 3.954 3.954 5.087 Å, 112.87 112.87 90.00°
Last column: magnetic moment on the atom in μB.
Fractional coordinates of all 4 atoms:
Mn: 0.250 0.750 0.500  3.53
Mn: 0.000 0.000 0.000  3.26
Y: 0.500 0.500 0.000  -0.37
Al: 0.750 0.250 0.500  -0.11

***

[5]
Below is a crystal of NbP2AuO relaxed with PBEsol, with properties calculated at the SCAN level.

Values from the calculation:
Its uncorrected formation energy is 70.9 kJ/mol of atoms. The volume is 16.95 A^3/atom. The calculation puts the total energy at -25.128 eV per atom.

Cell: 3.819 4.711 4.711 Å, 90.00 90.00 90.00°
Last column: magnetic moment on the atom in μB.
Fractional coordinates of all 5 atoms:
Nb: 0.500 0.500 0.500  1.15
P: 0.000 0.500 0.000  -0.12
Au: 0.000 0.000 0.000  -0.05
P: 0.000 0.000 0.500  -0.12
O: 0.500 0.000 0.000  -0.05

***

[6]
Below is a crystal of FeSiP3 relaxed with PBEsol, with properties calculated at the SCAN level.

Values from the calculation:
Its uncorrected formation energy is 102.9 kJ/mol of atoms. The volume is 17.17 A^3/atom. The calculation puts the total energy at -10.802 eV per atom.

Cell: 4.412 4.412 4.412 Å, 90.00 90.00 90.00°
Last column: magnetic moment on the atom in μB.
Fractional coordinates of all 5 atoms:
P: 0.000 0.000 0.500  -0.06
P: 0.500 0.000 0.000  -0.06
Si: 0.000 0.000 0.000  -0.03
Fe: 0.500 0.500 0.500  3.40
P: 0.000 0.500 0.000  -0.06

***

[7]
Below is a crystal of AlCr3 relaxed with PBEsol, with properties calculated at the SCAN level.

Values from the calculation:
The volume is 11.79 A^3/atom. As for the formation energy: -5.9 kJ/mol of atoms. The calculation puts the total energy at -15.788 eV per atom.

Cell: 2.885 4.088 4.718 Å, 115.67 107.80 90.00°
Last column: magnetic moment on the atom in μB.
Fractional coordinates of all 4 atoms:
Al: 0.000 0.000 0.000  -0.01
Cr: 0.234 0.734 0.469  -0.35
Cr: 0.500 0.500 0.000  1.18
Cr: 0.766 0.266 0.531  -0.35

***

[8]
Below is a crystal of AlCrCuPd2 relaxed with PBEsol, with properties calculated at the SCAN level.

Values from the calculation:
The volume is 17.63 A^3/atom. As for the formation energy: 44.9 kJ/mol of atoms. The calculation puts the total energy at -20.912 eV per atom.

Cell: 4.255 4.552 4.552 Å, 90.00 90.00 90.00°
Last column: magnetic moment on the atom in μB.
Fractional coordinates of all 5 atoms:
Pd: 0.000 0.500 0.000  0.00
Al: 0.500 0.000 0.000  -0.02
Cu: 0.000 0.000 0.000  0.00
Cr: 0.500 0.500 0.500  4.00
Pd: 0.000 0.000 0.500  0.00

***

[9]
Below is a crystal of YMnRe relaxed with PBEsol, with properties calculated at the SCAN level.

Values from the calculation:
The volume is 19.43 A^3/atom. As for the formation energy: 13.8 kJ/mol of atoms. The calculation puts the total energy at -38.922 eV per atom.

Cell: 3.907 3.907 4.409 Å, 90.00 90.00 120.00°
Fractional coordinates of all 3 atoms:
Y: 0.333 0.667 0.333
Mn: 0.000 0.000 0.833
Re: 0.667 0.333 0.834

***

[10]
Below is a crystal of KTcBr2 relaxed with PBEsol, with properties calculated at the SCAN level.

Values from the calculation:
Its uncorrected formation energy is -11.7 kJ/mol of atoms. The volume is 23.90 A^3/atom. The calculation puts the total energy at -20.699 eV per atom. The energy above the most stable polymorph in this dataset is 0.2169 eV per atom.

Cell: 5.132 5.132 5.132 Å, 60.00 60.00 60.00°
Last column: magnetic moment on the atom in μB.
Fractional coordinates of all 4 atoms:
Tc: 0.000 0.000 0.000  3.54
Br: 0.750 0.750 0.750  0.07
Br: 0.250 0.250 0.250  0.07
K: 0.500 0.500 0.500  0.00

***

[11]
Below is a crystal of Hg3Te2Cl2 relaxed with PBEsol, with properties calculated at the SCAN level.

Values from the calculation:
Its uncorrected formation energy is -44.6 kJ/mol of atoms. The volume is 28.57 A^3/atom. The calculation puts the total energy at -42.599 eV per atom.

Cell: 8.039 8.039 8.039 Å, 109.47 109.47 109.47°
Fractional coordinates of all 14 atoms:
Cl: 0.962 0.962 0.462
Cl: 0.538 0.000 0.000
Hg: 0.250 0.819 0.569
Te: 0.500 0.072 0.500
Hg: 0.431 0.750 0.181
Te: 0.000 0.500 0.572
Cl: 0.500 0.538 0.500
Cl: 0.000 0.500 0.038
Te: 0.428 0.428 0.928
Te: 0.072 0.000 0.000
Hg: 0.069 0.250 0.319
Hg: 0.750 0.681 0.931
Hg: 0.819 0.069 0.750
Hg: 0.681 0.431 0.250

***

[12]
Below is a crystal of YMn2Cr relaxed with PBEsol, with properties calculated at the SCAN level.

Values from the calculation:
The volume is 15.06 A^3/atom. As for the formation energy: 19.5 kJ/mol of atoms. The calculation puts the total energy at -20.483 eV per atom. The energy above the most stable polymorph in this dataset is 0.0000 eV per atom.

Cell: 3.040 4.451 4.451 Å, 90.02 90.00 90.00°
Last column: magnetic moment on the atom in μB.
Fractional coordinates of all 4 atoms:
Mn: 0.000 0.000 0.500  3.30
Y: 0.500 0.000 0.000  -0.29
Mn: 0.000 0.500 0.000  3.30
Cr: 0.500 0.500 0.500  -3.29

***

[13]
Below is a crystal of HfMnF6 relaxed with PBEsol, with properties calculated at the SCAN level.

Values from the calculation:
Its uncorrected formation energy is -348.2 kJ/mol of atoms. The volume is 17.00 A^3/atom. The calculation puts the total energy at -16.380 eV per atom.

Cell: 5.773 5.773 5.773 Å, 60.00 60.00 60.00°
Last column: magnetic moment on the atom in μB.
Fractional coordinates of all 8 atoms:
Hf: 0.000 0.000 0.000  0.04
F: 0.756 0.244 0.756  0.02
F: 0.756 0.244 0.244  0.02
F: 0.756 0.756 0.244  0.02
F: 0.244 0.756 0.244  0.02
Mn: 0.500 0.500 0.500  4.65
F: 0.244 0.244 0.756  0.02
F: 0.244 0.756 0.756  0.02

***

[14]
Below is a crystal of KHfPdF7 relaxed with PBEsol, with properties calculated at the SCAN level.

Values from the calculation:
Its uncorrected formation energy is -297.8 kJ/mol of atoms. The volume is 14.18 A^3/atom. The calculation puts the total energy at -15.942 eV per atom.

Cell: 6.311 7.915 11.360 Å, 90.00 90.00 90.00°
Last column: magnetic moment on the atom in μB.
Fractional coordinates of all 40 atoms:
F: 0.448 0.676 0.547  0.07
Pd: 0.750 0.750 0.901  1.61
F: 0.434 0.705 0.244  0.07
F: 0.143 0.488 0.394  0.05
F: 0.857 0.488 0.894  0.05
K: 0.273 0.000 0.750  0.00
F: 0.357 0.012 0.394  0.05
F: 0.566 0.295 0.756  0.07
F: 0.434 0.295 0.256  0.07
F: 0.066 0.205 0.256  0.07
F: 0.250 0.750 0.918  0.00
F: 0.934 0.795 0.744  0.07
F: 0.448 0.324 0.953  0.07
Hf: 0.250 0.750 0.092  0.02
K: 0.727 0.000 0.250  0.00
F: 0.066 0.795 0.244  0.07
F: 0.357 0.988 0.106  0.05
F: 0.934 0.205 0.756  0.07
F: 0.552 0.324 0.453  0.07
F: 0.857 0.512 0.606  0.05
F: 0.750 0.250 0.082  0.00
Pd: 0.250 0.250 0.099  1.61
F: 0.052 0.824 0.547  0.07
F: 0.643 0.988 0.606  0.05
F: 0.052 0.176 0.953  0.07
Hf: 0.250 0.250 0.408  0.02
F: 0.250 0.250 0.582  0.00
F: 0.750 0.750 0.418  0.00
F: 0.643 0.012 0.894  0.05
F: 0.552 0.676 0.047  0.07
F: 0.143 0.512 0.106  0.05
F: 0.948 0.176 0.453  0.07
Hf: 0.750 0.750 0.592  0.02
Pd: 0.750 0.250 0.599  1.61
K: 0.227 0.500 0.750  0.00
Hf: 0.750 0.250 0.908  0.02
F: 0.566 0.705 0.744  0.07
Pd: 0.250 0.750 0.401  1.61
K: 0.773 0.500 0.250  0.00
F: 0.948 0.824 0.047  0.07

***

[15]
Below is a crystal of NdH2 relaxed with PBEsol, with properties calculated at the SCAN level.

Values from the calculation:
The volume is 13.20 A^3/atom. The calculation puts the total energy at -17.573 eV per atom.

Cell: 3.826 3.826 3.826 Å, 60.00 60.00 60.00°
Fractional coordinates of all 3 atoms:
H: 0.750 0.750 0.750
Nd: 0.000 0.000 0.000
H: 0.250 0.250 0.250

***

[16]
Below is a crystal of SrSbCl relaxed with PBEsol, with properties calculated at the SCAN level.

Values from the calculation:
Its uncorrected formation energy is -82.3 kJ/mol of atoms. The volume is 35.71 A^3/atom. The calculation puts the total energy at -23.357 eV per atom. The energy above the most stable polymorph in this dataset is 0.0000 eV per atom.

Cell: 5.331 5.331 5.331 Å, 60.00 60.00 60.00°
Last column: magnetic moment on the atom in μB.
Fractional coordinates of all 3 atoms:
Sr: 0.250 0.250 0.250  -0.09
Sb: 0.500 0.500 0.500  -0.66
Cl: 0.000 0.000 0.000  -0.17

***

[17]
Below is a crystal of BeHPb3 relaxed with PBEsol, with properties calculated at the SCAN level.

Values from the calculation:
The volume is 24.79 A^3/atom. The calculation puts the total energy at -46.310 eV per atom.

Cell: 4.986 4.986 4.986 Å, 90.00 90.00 90.00°
Fractional coordinates of all 5 atoms:
Pb: 0.500 0.000 0.000
Pb: 0.000 0.500 0.000
H: 0.500 0.500 0.500
Be: 0.000 0.000 0.000
Pb: 0.000 0.000 0.500

***

[18]
Below is a crystal of Ca2YRh relaxed with PBEsol, with properties calculated at the SCAN level.

Values from the calculation:
The volume is 26.62 A^3/atom. As for the formation energy: -12.7 kJ/mol of atoms. The calculation puts the total energy at -20.367 eV per atom. The energy above the most stable polymorph in this dataset is 0.2552 eV per atom.

Cell: 3.386 3.386 9.286 Å, 90.00 90.00 90.09°
Last column: magnetic moment on the atom in μB.
Fractional coordinates of all 4 atoms:
Y: 0.500 0.500 0.000  -0.18
Ca: 0.000 0.000 0.321  0.00
Ca: 0.000 0.000 0.679  0.00
Rh: 0.500 0.500 0.500  0.01

***

[19]
Below is a crystal of CdWIO2 relaxed with PBEsol, with properties calculated at the SCAN level.

Values from the calculation:
Its uncorrected formation energy is -65.5 kJ/mol of atoms. The volume is 18.36 A^3/atom. The calculation puts the total energy at -30.540 eV per atom.

Cell: 3.948 3.948 5.889 Å, 90.00 90.00 90.00°
Fractional coordinates of all 5 atoms:
W: 0.000 0.000 0.000
O: 0.000 0.500 0.000
Cd: 0.500 0.500 0.500
I: 0.000 0.000 0.500
O: 0.500 0.000 0.000

***

[20]
Below is a crystal of CoSb2RuBr relaxed with PBEsol, with properties calculated at the SCAN level.

Values from the calculation:
Its uncorrected formation energy is 75.6 kJ/mol of atoms. The volume is 21.91 A^3/atom. The calculation puts the total energy at -28.439 eV per atom.

Cell: 4.756 4.756 4.842 Å, 90.00 90.00 90.00°
Last column: magnetic moment on the atom in μB.
Fractional coordinates of all 5 atoms:
Co: 0.000 0.000 0.000  1.03
Sb: 0.500 0.000 0.000  0.00
Ru: 0.000 0.000 0.500  2.50
Br: 0.500 0.500 0.500  0.11
Sb: 0.000 0.500 0.000  0.00